Computed, not measured: a relaxed structure of Sr2Ru2Au at the PBE level of DFT.

Cell: 3.598 3.598 18.932 Å, 90.00 90.00 90.00°
Element x y z (fractional)
1 Sr 0.000 0.000 0.109
2 Sr 0.000 0.000 0.891
3 Sr 0.500 0.500 0.391
4 Sr 0.500 0.500 0.609
5 Ru 0.000 0.500 0.250
6 Ru 0.000 0.500 0.750
7 Ru 0.500 0.000 0.250
8 Ru 0.500 0.000 0.750
9 Au 0.000 0.000 0.500
10 Au 0.500 0.500 0.000

Output
**Space-group type**: I4/mmm (139)


Computed, not measured: a relaxed structure of SrRu3Au at the PBE level of DFT.

Cell: 4.851 4.851 4.851 Å, 90.00 90.00 90.00°
Element x y z (fractional)
1 Sr 0.000 0.000 0.000
2 Ru 0.000 0.000 0.500
3 Ru 0.000 0.500 0.000
4 Ru 0.500 0.000 0.000
5 Au 0.500 0.500 0.500

Output
**Space-group type**: Pm-3m (221)


Computed, not measured: a relaxed structure of SrRuAu2 at the PBE level of DFT.

Cell: 6.902 6.902 6.902 Å, 90.00 90.00 90.00°
Element x y z (fractional)
1 Sr 0.000 0.000 0.000
2 Sr 0.000 0.500 0.500
3 Sr 0.500 0.000 0.500
4 Sr 0.500 0.500 0.000
5 Ru 0.250 0.250 0.250
6 Ru 0.250 0.750 0.750
7 Ru 0.750 0.250 0.750
8 Ru 0.750 0.750 0.250
9 Au 0.000 0.000 0.500
10 Au 0.000 0.500 0.000
11 Au 0.250 0.250 0.750
12 Au 0.250 0.750 0.250
13 Au 0.500 0.000 0.000
14 Au 0.500 0.500 0.500
15 Au 0.750 0.250 0.250
16 Au 0.750 0.750 0.750

Output
**Space-group type**: F-43m (216)


Computed, not measured: a relaxed structure of Sr2Ru2Au at the PBE level of DFT.

Cell: 9.084 9.084 3.052 Å, 90.00 90.00 90.00°
Element x y z (fractional)
1 Sr 0.195 0.305 0.000
2 Sr 0.305 0.805 0.000
3 Sr 0.695 0.195 0.000
4 Sr 0.805 0.695 0.000
5 Ru 0.088 0.588 0.500
6 Ru 0.412 0.088 0.500
7 Ru 0.588 0.912 0.500
8 Ru 0.912 0.412 0.500
9 Au 0.000 0.000 0.000
10 Au 0.500 0.500 0.000

Output
**Space-group type**: P4/mbm (127)


The records above give, respectively, E_form values of 0.08; 2.56; 0.29; 0.61 eV/atom.
The records above give, respectively, uncorrected energy values of -4.96; -4.00; -4.09; -4.43 eV/atom.